# SrIn2P2

A relaxed structure of SrIn2P2 (GGA-PBE, Alexandria via LeMat-Bulk).

Cell: 7.845 7.845 3.851 Å, 90.00 90.00 90.00°
Atoms (fractional coordinates):
Sr 0.000 0.000 0.000
Sr 0.500 0.500 0.000
In 0.143 0.357 0.500
In 0.357 0.857 0.500
In 0.643 0.143 0.500
In 0.857 0.643 0.500
P 0.153 0.653 0.000
P 0.347 0.153 0.000
P 0.653 0.847 0.000
P 0.847 0.347 0.000

Output
Energy of formation from the pure elements: -175 meV per atom
Total DFT energy (no corrections): -37.70 eV per cell
Volume: 23.7 A^3/atom

***

# LiRuW2

A relaxed structure of LiRuW2 (GGA-PBE, Alexandria via LeMat-Bulk).

Cell: 4.893 4.893 4.893 Å, 134.66 134.66 66.06°
Atoms (fractional coordinates):
Li 0.000 0.000 0.000
Ru 0.500 0.500 0.000
W 0.250 0.750 0.500
W 0.750 0.250 0.500

Output
Energy of formation from the pure elements: 403 meV per atom
Total DFT energy (no corrections): -35.48 eV per cell
Volume: 14.6 A^3/atom